1.
The following is a GGA-PBE calculation of a relaxed structure of YTlRh3, from Alexandria via LeMat-Bulk.

Unit cell a=4.9266 b=4.9266 c=4.9266 alpha=90.00 beta=90.00 gamma=90.00
Fractional coordinates of all 5 atoms:
1 Y 0.5000 0.5000 0.5000
2 Tl 0.0000 0.0000 0.0000
3 Rh 0.0000 0.5000 0.0000
4 Rh 0.0000 0.0000 0.5000
5 Rh 0.5000 0.0000 0.0000

Computed properties:
* calculated formation energy: 16.5 kcal/mol of atoms
* energy above the most stable polymorph in this dataset: 0.000 eV/atom
* volume: 120 Å³/f.u.
* total magnetization: 0.76 μB/f.u.
* crystal system: cubic

***

2.
The following is a GGA-PBE calculation of a relaxed structure of TlCuSe2, from Alexandria via LeMat-Bulk.

Unit cell a=4.9037 b=4.9037 c=4.1930 alpha=90.00 beta=90.00 gamma=113.48
Fractional coordinates of all 4 atoms:
1 Cu 0.0000 0.5000 0.5000
2 Se 0.0000 0.0000 0.0000
3 Se 0.5000 0.5000 0.0000
4 Tl 0.5000 0.0000 0.5000

Computed properties:
* E_form (uncorrected): 0.22 eV per atom
* volume: 92 Å³/f.u.
* total magnetization: 0.00 μB/f.u.
* crystal system: orthorhombic

***

3.
The following is a GGA-PBE calculation of a relaxed structure of SmVAs2, from Alexandria via LeMat-Bulk.

Unit cell a=3.9587 b=3.9587 c=6.6191 alpha=72.60 beta=72.60 gamma=60.00
Fractional coordinates of all 4 atoms:
1 As 0.2647 0.2647 0.2058
2 As 0.7353 0.7353 0.7942
3 Sm 0.5000 0.5000 0.5000
4 V 0.0000 0.0000 0.0000

Computed properties:
* calculated formation energy: -19.0 kcal/mol of atoms
* volume: 84 Å³/f.u.
* total magnetization: 1.80 μB/f.u.
* crystal system: trigonal